PBE-GGA Na3AgSb, optimized geometry; space group = Pm-3m (221); E above lowest polymorph = 0.303 eV/atom
1.0
5.4576 0.0000 0.0000
0.0000 5.4576 0.0000
0.0000 0.0000 5.4576
Na Ag Sb
3 1 1
Cartesian
0.0000 0.0000 2.7288
0.0000 2.7288 0.0000
2.7288 0.0000 0.0000
0.0000 0.0000 0.0000
2.7288 2.7288 2.7288

PBE-GGA Na2Ag3Sb5, optimized geometry; space group = Ibam (72); E_tot = -3.25 eV/atom
1.0
-5.9307 6.7597 3.4757
5.9307 -6.7597 3.4757
5.9307 6.7597 -3.4757
Na Ag Sb
4 6 10
Cartesian
2.8090 1.7225 0.0000
2.8090 -1.7225 3.4757
3.1217 8.4822 0.0000
3.1217 5.0372 3.4757
4.5024 -4.9325 3.4757
5.9307 0.0000 1.7378
4.5024 4.9325 0.0000
1.4283 1.8272 3.4757
0.0000 6.7597 1.7378
1.4283 11.6922 0.0000
5.9307 -3.1431 1.7378
7.7130 1.4308 0.0000
0.0000 0.0000 1.7378
1.7822 5.3289 0.0000
5.9307 3.1431 1.7378
0.0000 3.6166 1.7378
4.1485 1.4308 3.4757
0.0000 0.0000 5.2135
-1.7822 5.3289 3.4757
0.0000 9.9028 1.7378

PBE-GGA Na2Ag5Sb4, optimized geometry; space group = Fmmm (69); E_tot = -3.03 eV/atom
1.0
0.0000 5.5025 8.9980
2.9400 0.0000 8.9980
2.9400 5.5025 0.0000
Na Ag Sb
2 5 4
Cartesian
2.9400 5.5025 2.9454
2.9400 5.5025 15.0507
1.4700 2.7512 0.0000
1.4700 2.7512 4.4990
1.4700 2.7512 8.9980
2.9400 5.5025 8.9980
4.4100 8.2537 13.4970
2.9400 3.9344 6.6412
2.9400 3.9344 11.3548
2.9400 7.0706 6.6412
2.9400 7.0706 11.3548

PBE-GGA Na12AgSb7, optimized geometry; space group = R-3 (148); E_tot = -2.61 eV/atom
1.0
7.0094 4.0469 3.4693
-7.0094 4.0469 3.4693
0.0000 -8.0938 3.4693
Na Ag Sb
12 1 7
Cartesian
-2.1719 -0.4975 2.2440
-0.9822 -2.9532 4.2578
1.5168 -1.6321 2.2440
-3.0487 -0.6260 6.1502
0.6551 2.1297 2.2440
-2.0665 2.3272 4.2578
2.0665 -2.3272 6.1502
-0.6551 -2.1297 8.1640
3.0487 0.6260 4.2578
-1.5168 1.6322 8.1640
0.9822 2.9532 6.1502
2.1719 0.4975 8.1640
0.0000 0.0000 0.0000
-2.3007 -5.7287 4.4045
-6.1115 -0.8719 6.0035
-3.8108 4.8568 4.4045
0.0000 0.0000 5.2040
3.8108 -4.8568 6.0035
6.1115 0.8719 4.4045
2.3006 5.7287 6.0035

PBE-GGA NaAg4Sb3, optimized geometry; space group = P4/mmm (123); E_tot = -3.16 eV/atom
1.0
4.7094 0.0000 0.0000
0.0000 4.7094 0.0000
0.0000 0.0000 9.1979
Na Ag Sb
1 4 3
Cartesian
0.0000 0.0000 0.0000
0.0000 2.3547 2.9565
0.0000 2.3547 6.2414
2.3547 0.0000 2.9565
2.3547 0.0000 6.2414
0.0000 0.0000 4.5989
2.3547 2.3547 1.4037
2.3547 2.3547 7.7941

PBE-GGA Na8AgSb2, optimized geometry; space group = C2/m (12); E_tot = -2.24 eV/atom
1.0
8.6802 -2.6829 0.0000
8.6802 2.6829 0.0000
-3.2239 0.0000 6.7519
Na Ag Sb
8 1 2
Cartesian
16.6283 0.0000 1.5231
-2.4918 0.0000 5.2288
0.8631 0.0000 4.5449
5.7482 0.0000 0.5291
4.0326 0.0000 4.1461
10.1039 0.0000 2.6058
8.3883 0.0000 6.2229
13.2734 0.0000 2.2070
7.0682 0.0000 3.3760
2.5260 0.0000 1.2099
11.6105 0.0000 5.5420

PBE-GGA Na2Ag4Sb, optimized geometry; space group = I4/mmm (139); E_tot = -2.31 eV/atom
1.0
5.1947 0.0000 0.0000
0.0000 5.1947 0.0000
0.0000 0.0000 15.8150
Na Ag Sb
4 8 2
Cartesian
0.0000 0.0000 2.1664
0.0000 0.0000 13.6486
2.5973 2.5973 5.7411
2.5973 2.5973 10.0739
0.0000 0.0000 5.0873
0.0000 0.0000 10.7277
0.0000 2.5973 0.0000
0.0000 2.5973 7.9075
2.5973 0.0000 0.0000
2.5973 0.0000 7.9075
2.5973 2.5973 2.8202
2.5973 2.5973 12.9948
0.0000 0.0000 7.9075
2.5973 2.5973 0.0000

PBE-GGA NaAg4Sb4, optimized geometry; space group = P4_2/n (86); E_tot = -3.20 eV/atom
1.0
9.1797 0.0000 0.0000
0.0000 9.1797 0.0000
0.0000 0.0000 5.7929
Na Ag Sb
2 8 8
Cartesian
2.2949 2.2949 1.4482
6.8848 6.8848 4.3447
0.3701 8.0256 0.7526
1.1541 4.9599 3.6491
3.4358 8.8096 3.6491
4.2198 5.7439 0.7526
4.9599 3.4358 5.0402
5.7439 0.3701 2.1438
8.0256 4.2198 2.1438
8.8096 1.1541 5.0402
0.7500 8.0945 3.6505
1.0852 5.3398 0.7541
3.5047 8.4297 0.7541
3.8399 5.6750 3.6505
5.3398 3.5047 2.1423
5.6750 0.7500 5.0388
8.0945 3.8399 5.0388
8.4297 1.0852 2.1423